A geometry-optimized Zr2CoNi structure, computed with PBEsol.

Cell and atoms, written as extended XYZ:
```
4
Lattice="1.690 0.976 6.741 -1.690 0.976 6.741 0.000 -1.951 6.741" Properties=species:S:1:pos:R:3 pbc="T T T"
Zr 0.000 0.000 4.998
Zr 0.000 0.000 15.224
Co 0.000 0.000 10.111
Ni 0.000 0.000 0.000
```

crystal system	trigonal
energy of formation from the pure elements	-92	meV per atom
ρ	7.5	g cm⁻³
M_tot	0.000	μB/f.u.
offset from the most stable computed form	0.332	eV per atom

A geometry-optimized ZrCoNi structure, computed with PBEsol.

Cell and atoms, written as extended XYZ:
```
6
Lattice="-2.395 2.430 3.420 2.395 -2.430 3.420 2.395 2.430 -3.420" Properties=species:S:1:pos:R:3 pbc="T T T"
Zr 0.000 1.215 0.866
Zr 2.395 1.215 2.553
Co 2.395 0.000 0.000
Co 0.000 0.000 3.420
Ni 1.197 1.215 -1.710
Ni 1.197 -1.215 1.710
```

crystal system	orthorhombic
energy of formation from the pure elements	-398	meV per atom
ρ	8.7	g cm⁻³
M_tot	0.001	μB/f.u.

A geometry-optimized Zr2CoNi structure, computed with PBEsol.

Cell and atoms, written as extended XYZ:
```
4
Lattice="3.139 0.000 0.000 0.000 3.139 0.000 0.000 0.000 6.344" Properties=species:S:1:pos:R:3 pbc="T T T"
Zr 0.000 0.000 1.565
Zr 0.000 0.000 4.779
Co 1.570 1.570 0.000
Ni 1.570 1.570 3.172
```

crystal system	tetragonal
energy of formation from the pure elements	-328	meV per atom
ρ	8.0	g cm⁻³
M_tot	0.001	μB/f.u.
offset from the most stable computed form	0.096	eV per atom

A geometry-optimized Zr2CoNi structure, computed with PBEsol.

Cell and atoms, written as extended XYZ:
```
8
Lattice="3.246 -4.022 0.000 3.246 4.022 0.000 -1.603 0.000 4.856" Properties=species:S:1:pos:R:3 pbc="T T T"
Zr 0.000 0.000 0.000
Zr 3.271 2.095 2.700
Zr 1.683 0.000 4.814
Zr 3.271 -2.095 2.700
Co 1.642 1.998 0.496
Co 1.642 -1.998 0.496
Ni 1.766 0.000 2.135
Ni 4.773 0.000 2.146
```

crystal system	monoclinic
energy of formation from the pure elements	-424	meV per atom
ρ	7.9	g cm⁻³
M_tot	0.000	μB/f.u.
offset from the most stable computed form	0.000	eV per atom

A geometry-optimized Zr2CoNi structure, computed with PBEsol.

Cell and atoms, written as extended XYZ:
```
4
Lattice="3.307 0.000 0.000 0.000 3.307 0.000 0.000 0.000 5.844" Properties=species:S:1:pos:R:3 pbc="T T T"
Zr 0.000 0.000 0.000
Zr 1.654 1.654 2.096
Co 0.000 0.000 3.215
Ni 1.654 1.654 4.717
```

crystal system	tetragonal
energy of formation from the pure elements	-136	meV per atom
ρ	7.8	g cm⁻³
M_tot	0.001	μB/f.u.
offset from the most stable computed form	0.288	eV per atom

A geometry-optimized Zr2CoNi structure, computed with PBEsol.

Cell and atoms, written as extended XYZ:
```
4
Lattice="0.000 3.151 3.151 3.151 0.000 3.151 3.151 3.151 0.000" Properties=species:S:1:pos:R:3 pbc="T T T"
Zr 1.575 1.575 1.575
Zr 4.726 4.726 4.726
Co 0.000 0.000 0.000
Ni 3.151 3.151 3.151
```

crystal system	cubic
energy of formation from the pure elements	-330	meV per atom
ρ	8.0	g cm⁻³
M_tot	0.001	μB/f.u.
offset from the most stable computed form	0.094	eV per atom

A geometry-optimized CoO2 structure, computed with PBEsol.

Cell and atoms, written as extended XYZ:
```
3
Lattice="2.785 0.000 0.000 -1.392 2.412 0.000 0.000 0.000 4.398" Properties=species:S:1:pos:R:3 pbc="T T T"
Co 0.000 0.000 0.000
O 0.000 1.608 0.920
O 1.392 0.804 3.478
```

formation energy (no corrections)	-84.9	kJ per mole of atoms
crystal system	trigonal
ρ	5.1	g cm⁻³
M_tot	0.812	μB/f.u.

A geometry-optimized CoO2 structure, computed with PBEsol.

Cell and atoms, written as extended XYZ:
```
6
Lattice="2.783 0.000 0.000 -1.392 2.410 0.000 0.000 0.000 9.743" Properties=species:S:1:pos:R:3 pbc="T T T"
Co 0.000 0.000 0.000
Co 0.000 0.000 4.872
O 0.000 1.607 0.923
O 0.000 1.607 3.949
O 1.392 0.803 5.794
O 1.392 0.803 8.821
```

formation energy (no corrections)	-84.7	kJ per mole of atoms
crystal system	hexagonal
ρ	4.6	g cm⁻³
M_tot	0.913	μB/f.u.

A geometry-optimized CoO2 structure, computed with PBEsol.

Cell and atoms, written as extended XYZ:
```
6
Lattice="2.784 0.000 0.000 -1.392 2.411 0.000 0.000 0.000 9.004" Properties=species:S:1:pos:R:3 pbc="T T T"
Co 0.000 1.607 0.000
Co 1.392 0.804 4.502
O 0.000 0.000 0.921
O 0.000 0.000 5.423
O 0.000 1.607 3.581
O 1.392 0.804 8.083
```

formation energy (no corrections)	-84.9	kJ per mole of atoms
crystal system	hexagonal
ρ	5.0	g cm⁻³
M_tot	0.862	μB/f.u.

A geometry-optimized CoO structure, computed with PBEsol.

Cell and atoms, written as extended XYZ:
```
2
Lattice="0.000 2.169 2.169 2.169 0.000 2.169 2.169 2.169 0.000" Properties=species:S:1:pos:R:3 pbc="T T T"
Co 0.000 0.000 0.000
O 1.085 1.085 1.085
```

formation energy (no corrections)	-61.1	kJ per mole of atoms
crystal system	cubic
ρ	6.1	g cm⁻³
M_tot	1.753	μB/f.u.

A geometry-optimized Co5O8 structure, computed with PBEsol.

Cell and atoms, written as extended XYZ:
```
13
Lattice="0.000 3.964 3.964 3.964 0.000 3.964 3.964 3.964 0.000" Properties=species:S:1:pos:R:3 pbc="T T T"
Co 0.000 0.000 0.000
Co 2.989 2.989 2.989
Co 4.939 4.939 2.989
Co 4.939 2.989 4.939
Co 2.989 4.939 4.939
O 1.079 1.079 1.079
O 2.885 2.885 1.079
O 2.885 1.079 2.885
O 4.830 3.098 3.098
O 1.079 2.885 2.885
O 3.098 4.830 3.098
O 3.098 3.098 4.830
O 4.830 4.830 4.830
```

formation energy (no corrections)	-96.6	kJ per mole of atoms
crystal system	cubic
ρ	5.6	g cm⁻³
M_tot	5.114	μB/f.u.

A geometry-optimized CoO2 structure, computed with PBEsol.

Cell and atoms, written as extended XYZ:
```
12
Lattice="0.000 3.927 3.927 3.927 0.000 3.927 3.927 3.927 0.000" Properties=species:S:1:pos:R:3 pbc="T T T"
Co 0.000 0.000 0.000
Co 1.964 1.964 0.000
Co 1.964 0.000 1.964
Co 0.000 1.964 1.964
O 6.007 3.810 3.810
O 1.847 1.847 1.847
O 4.044 4.044 1.847
O 4.044 1.847 4.044
O 3.810 6.007 3.810
O 3.810 3.810 6.007
O 6.007 6.007 6.007
O 1.847 4.044 4.044
```

formation energy (no corrections)	-83.2	kJ per mole of atoms
crystal system	cubic
ρ	5.0	g cm⁻³
M_tot	1.011	μB/f.u.